1.
{"formula": "TaCuN2", "functional": "GGA-PBEsol", "state": "relaxed", "sg": "No. 225", "e_form_raw_ev_per_atom": 0.08, "e_above_lowest_polymorph_ev_per_atom": 0.719, "lattice": [[-2.867, -0.850, -2.241], [0.636, -1.521, -3.353], [-0.884, -3.576, -0.628]], "species": ["N", "N", "Cu", "Ta"], "fractional_positions": [[0.250, 0.250, 0.250], [0.750, 0.750, 0.750], [0.000, 0.000, 0.000], [0.500, 0.500, 0.500]]}

2.
{"formula": "TaCuN2", "functional": "GGA-PBEsol", "state": "relaxed", "sg": "No. 166", "e_form_raw_ev_per_atom": -0.64, "e_above_lowest_polymorph_ev_per_atom": 0.000, "lattice": [[6.060, 0.000, 0.000], [5.257, 3.015, 0.000], [5.257, 1.400, 2.670]], "species": ["N", "N", "Cu", "Ta"], "fractional_positions": [[0.895, 0.895, 0.895], [0.105, 0.105, 0.105], [0.000, 0.000, 0.000], [0.500, 0.500, 0.500]]}